As2PtWSe: optimized geometry, PBE.

a b c (Å): 4.887 4.887 4.758
angles (deg): 90.00 90.00 90.00
Fractional coordinates of all 5 atoms:
As 0.000 0.500 0.000
As 0.500 0.000 0.000
Pt 0.000 0.000 0.500
W 0.500 0.500 0.000
Se 0.500 0.500 0.500

Properties
**Excess energy over the best structure of this formula in the dataset**: 0 meV per atom
**Uncorrected formation energy**: 821 meV per atom
**Fermi-level density of states**: 3.47 states/eV/cell